Crystalline Zn3InIr at its relaxed geometry. Source: the Alexandria database, functional GGA-PBE.

Results
The formation energy comes out at 0.144 eV per atom. The polymorph energy (0 for the lowest one) is 0 meV/atom. The crystal system is cubic. Its density of states at the Fermi level is 1.5 states/eV per cell. The calculated volume is 114.42 Å³/f.u.

Unit cell a=4.8547 b=4.8547 c=4.8547 alpha=90.00 beta=90.00 gamma=90.00
Sites, in units of the cell vectors:
Zn 0.0000 0.0000 0.5000
Zn 0.5000 0.0000 0.0000
Zn 0.0000 0.5000 0.0000
In 0.5000 0.5000 0.5000
Ir 0.0000 0.0000 0.0000

Crystalline BaLiIr2 at its relaxed geometry. Source: the Alexandria database, functional GGA-PBE.

Results
The formation energy comes out at 0.441 eV per atom. The polymorph energy (0 for the lowest one) is 622 meV/atom. The crystal system is monoclinic. Its density of states at the Fermi level is 2.4 states/eV per cell. The calculated volume is 75.26 Å³/f.u.

Unit cell a=4.9684 b=5.7909 c=3.0004 alpha=76.60 beta=86.34 gamma=114.36
Sites, in units of the cell vectors:
Ir 0.5000 0.0000 0.5000
Ir 0.0000 0.0000 0.0000
Li 0.0000 0.5000 0.5000
Ba 0.5000 0.5000 0.0000

Crystalline Tb4Pr5Dy4 at its relaxed geometry. Source: the Alexandria database, functional GGA-PBE.

Results
The formation energy comes out at 0.019 eV per atom. The crystal system is tetragonal. Its density of states at the Fermi level is 18.6 states/eV per cell. The calculated volume is 434.55 Å³/f.u.

Unit cell a=5.0967 b=9.5789 c=9.5788 alpha=85.94 beta=74.57 gamma=74.57
Sites, in units of the cell vectors:
Tb 0.7670 0.3880 0.0780
Tb 0.2330 0.6120 0.9220
Tb 0.8450 0.9220 0.3880
Tb 0.1550 0.0780 0.6120
Pr 0.5386 0.7658 0.1570
Pr 0.3044 0.1570 0.2342
Pr 0.0000 0.0000 0.0000
Pr 0.6956 0.8430 0.7658
Pr 0.4614 0.2342 0.8430
Dy 0.0754 0.5385 0.3108
Dy 0.9246 0.4615 0.6892
Dy 0.3862 0.6892 0.5384
Dy 0.6138 0.3108 0.4616

Crystalline SrTaW2 at its relaxed geometry. Source: the Alexandria database, functional GGA-PBE.

Results
The formation energy comes out at 0.862 eV per atom. The polymorph energy (0 for the lowest one) is 167 meV/atom. The crystal system is tetragonal. Its density of states at the Fermi level is 2.4 states/eV per cell. The calculated volume is 79.48 Å³/f.u.

Unit cell a=2.7792 b=2.7792 c=10.2902 alpha=90.00 beta=90.00 gamma=90.00
Sites, in units of the cell vectors:
W 0.0000 0.0000 0.5284
W 0.0000 0.0000 0.9716
Sr 0.5000 0.5000 0.2500
Ta 0.5000 0.5000 0.7500

Crystalline Er4IrOs at its relaxed geometry. Source: the Alexandria database, functional GGA-PBE.

Results
The formation energy comes out at -0.544 eV per atom. The polymorph energy (0 for the lowest one) is 0 meV/atom. The crystal system is monoclinic. Its density of states at the Fermi level is 8.1 states/eV per cell. The calculated volume is 147.55 Å³/f.u.

Unit cell a=6.2556 b=7.4999 c=7.7840 alpha=114.41 beta=108.64 gamma=99.82
Sites, in units of the cell vectors:
Ir 0.6143 0.3643 0.7286
Ir 0.3857 0.6357 0.2714
Er 0.2107 0.3043 0.3518
Er 0.6411 0.0475 0.3518
Er 0.6306 0.3660 0.1232
Er 0.3694 0.6340 0.8768
Er 0.0074 0.2428 0.8768
Er 0.9926 0.7572 0.1232
Er 0.3589 0.9525 0.6482
Er 0.7893 0.6957 0.6482
Os 0.7506 0.0006 0.0012
Os 0.2494 0.9994 0.9988

Crystalline CdAsIr2S at its relaxed geometry. Source: the Alexandria database, functional GGA-PBE.

Results
The crystal system is tetragonal. Its density of states at the Fermi level is 5.9 states/eV per cell. The calculated volume is 113.67 Å³/f.u. Its total energy is -3.5217 eV per atom.

Unit cell a=4.9845 b=4.5750 c=4.9845 alpha=90.00 beta=90.00 gamma=90.00
Site moments in Bohr magnetons follow the coordinates.
Sites, in units of the cell vectors:
Cd 0.0000 0.0000 0.0000  0.00
Ir 0.5000 0.0000 0.0000  0.30
Ir 0.0000 0.0000 0.5000  0.38
As 0.5000 0.5000 0.5000  -0.04
S 0.0000 0.5000 0.0000  0.05

Crystalline Tb3Dy2Y6Th at its relaxed geometry. Source: the Alexandria database, functional GGA-PBE.

Results
The formation energy comes out at 0.024 eV per atom. The crystal system is monoclinic. Its density of states at the Fermi level is 16.4 states/eV per cell. The calculated volume is 384.82 Å³/f.u.

Unit cell a=6.1804 b=6.1804 c=11.8102 alpha=95.01 beta=95.01 gamma=119.97
Sites, in units of the cell vectors:
Tb 0.5000 0.5000 0.5000
Tb 0.1673 0.8327 0.5000
Tb 0.8327 0.1673 0.5000
Y 0.2463 0.2463 0.7511
Y 0.4140 0.0839 0.2490
Y 0.7537 0.7537 0.2489
Y 0.5860 0.9161 0.7510
Y 0.9161 0.5860 0.7510
Y 0.0839 0.4140 0.2490
Th 0.0000 0.0000 0.0000
Dy 0.6667 0.3333 0.0000
Dy 0.3333 0.6667 0.0000

Crystalline LaScPd2 at its relaxed geometry. Source: the Alexandria database, functional GGA-PBE.

Results
The formation energy comes out at -0.800 eV per atom. The crystal system is tetragonal. Its density of states at the Fermi level is 3.5 states/eV per cell. The calculated volume is 84.49 Å³/f.u.

Unit cell a=3.3877 b=3.3877 c=7.3619 alpha=90.00 beta=90.00 gamma=90.00
Sites, in units of the cell vectors:
Sc 0.5000 0.5000 0.0000
Pd 0.0000 0.0000 0.2071
Pd 0.0000 0.0000 0.7929
La 0.5000 0.5000 0.5000

Crystalline PmTlBi2O8 at its relaxed geometry. Source: the Alexandria database, functional GGA-PBE.

Results
The crystal system is tetragonal. Its density of states at the Fermi level is 5.3 states/eV per cell. The calculated volume is 169.93 Å³/f.u. Its total energy is -5.8388 eV per atom.

Unit cell a=5.4359 b=5.4359 c=6.9171 alpha=113.14 beta=113.14 gamma=90.00
Sites, in units of the cell vectors:
Tl 0.7500 0.2500 0.5000
O 0.3668 0.9165 0.3131
O 0.6415 0.1867 0.8071
O 0.6034 0.6332 0.6869
O 0.8133 0.8343 0.1929
O 0.0835 0.0538 0.6869
O 0.9462 0.3966 0.3131
O 0.1657 0.6205 0.8071
O 0.3795 0.3585 0.1929
Bi 0.5000 0.5000 0.0000
Bi 0.2500 0.7500 0.5000
Pm 0.0000 0.0000 0.0000

Crystalline NiBMo2Ru at its relaxed geometry. Source: the Alexandria database, functional GGA-PBE.

Results
The formation energy comes out at 0.198 eV per atom. The crystal system is tetragonal. Its density of states at the Fermi level is 4.0 states/eV per cell. The calculated volume is 66.26 Å³/f.u.

Unit cell a=4.1886 b=3.7765 c=4.1886 alpha=90.00 beta=90.00 gamma=90.00
Site moments in Bohr magnetons follow the coordinates.
Sites, in units of the cell vectors:
Ru 0.5000 0.5000 0.5000  0.62
B 0.0000 0.0000 0.0000  0.03
Mo 0.5000 0.0000 0.0000  -0.01
Mo 0.0000 0.0000 0.5000  -0.02
Ni 0.0000 0.5000 0.0000  0.20

Crystalline Ho8Cu2Hg at its relaxed geometry. Source: the Alexandria database, functional GGA-PBE.

Results
The formation energy comes out at -0.053 eV per atom. The polymorph energy (0 for the lowest one) is 106 meV/atom. The crystal system is monoclinic. Its density of states at the Fermi level is 16.0 states/eV per cell. The calculated volume is 296.99 Å³/f.u.

Unit cell a=5.3797 b=7.9880 c=7.9880 alpha=115.28 beta=98.95 gamma=98.95
Sites, in units of the cell vectors:
Ho 0.1936 0.3917 0.3917
Ho 0.9999 0.7697 0.2362
Ho 0.5947 0.3392 0.0885
Ho 0.4049 0.6669 0.9176
Ho 0.8062 0.6145 0.6145
Ho 0.5947 0.0885 0.3392
Ho 0.4049 0.9176 0.6669
Ho 0.9999 0.2362 0.7697
Hg 0.0005 0.0031 0.0031
Cu 0.5001 0.6979 0.3086
Cu 0.5001 0.3086 0.6979

Crystalline NaTlCdRh2 at its relaxed geometry. Source: the Alexandria database, functional GGA-PBE.

Results
The formation energy comes out at 0.869 eV per atom. The crystal system is tetragonal. Its density of states at the Fermi level is 1.6 states/eV per cell. The calculated volume is 130.13 Å³/f.u.

Unit cell a=5.0392 b=5.1245 c=5.0392 alpha=90.00 beta=90.00 gamma=90.00
Sites, in units of the cell vectors:
Rh 0.0000 0.0000 0.5000
Rh 0.5000 0.0000 0.0000
Na 0.0000 0.5000 0.0000
Tl 0.0000 0.0000 0.0000
Cd 0.5000 0.5000 0.5000

Which of these has the highest density of states at the Fermi level?
Tb4Pr5Dy4

What is the formula in the twelfth record?
NaTlCdRh2

Among the records above, which one has the highest density of states at the Fermi level?
Tb4Pr5Dy4